A geometry-optimized LaY2Hf2 structure, computed with PBE.

Calculated values
Spin magnetization in μB per formula unit: 0.4
E_tot in eV/atom: -7.251
Formation energy from the elements in kJ per mole of atoms: 29.1

abc: 9.2425 9.2425 3.4296
angles: 90.00 90.00 90.00
Last column: nearest neighbours and their distance in Å.
Space group P4/mbm (No. 127)
Asymmetric unit:
La: 0.0000 0.0000 0.0000  2 La 3.43, 4 Y 3.65, 8 Hf 3.83
Y: 0.1253 0.3747 0.0000  6 Hf 3.17-3.25, 3 Y 3.28-3.43
Hf: 0.1705 0.6705 0.5000  6 Y 3.17-3.25, 2 Hf 3.43

---

A geometry-optimized LaY2Hf structure, computed with PBE.

Calculated values
Spin magnetization in μB per formula unit: 0.0
E_tot in eV/atom: -6.777
Formation energy from the elements in kJ per mole of atoms: 16.9

abc: 4.8967 4.8967 4.9897
angles: 90.00 90.00 90.00
Last column: nearest neighbours and their distance in Å.
Space group P4/mmm (No. 123)
Asymmetric unit:
La: 0.0000 0.0000 0.0000  4 Hf 3.46, 8 Y 3.50
Y: 0.0000 0.5000 0.5000  4 Y 3.46, 4 Hf 3.50, 4 La 3.50
Hf: 0.5000 0.5000 0.0000  4 La 3.46, 8 Y 3.50

---

A geometry-optimized LaHfZn structure, computed with PBE.

Calculated values
Spin magnetization in μB per formula unit: 0.0
E_tot in eV/atom: -5.426
Formation energy from the elements in kJ per mole of atoms: -4.0

abc: 3.3862 3.3862 12.7157
angles: 90.00 90.00 90.00
Last column: nearest neighbours and their distance in Å.
Space group I4mm (No. 107)
Asymmetric unit:
La: 0.0000 0.0000 0.0000  4 Zn 3.34, 4 La 3.39, 4 Hf 3.43
Hf: 0.0000 0.0000 0.3063  4 Zn 2.86
Zn: 0.0000 0.0000 0.6835  4 Hf 2.86

---

A geometry-optimized LaHf2Zn2 structure, computed with PBE.

Calculated values
Spin magnetization in μB per formula unit: 0.0
E_tot in eV/atom: -5.510
Formation energy from the elements in kJ per mole of atoms: -3.2

abc: 4.3797 4.3797 12.1566
angles: 90.00 90.00 90.00
Last column: nearest neighbours and their distance in Å.
Space group I4/mmm (No. 139)
Asymmetric unit:
La: 0.0000 0.0000 0.0000  8 Zn 3.34
Hf: 0.0000 0.5000 0.2500  4 Zn 2.82, 4 Hf 3.10
Zn: 0.0000 0.0000 0.3964  1 Zn 2.52

---

A geometry-optimized LaHf2Zn2 structure, computed with PBE.

Calculated values
Spin magnetization in μB per formula unit: 0.0
E_tot in eV/atom: -5.309
Formation energy from the elements in kJ per mole of atoms: 16.2

abc: 4.4526 4.4526 12.0235
angles: 90.00 90.00 90.00
Last column: nearest neighbours and their distance in Å.
Space group I4/mmm (No. 139)
Asymmetric unit:
La: 0.0000 0.0000 0.0000  8 Hf 3.48, 8 Zn 3.74
Hf: 0.0000 0.0000 0.3776  4 Zn 2.70, 1 Hf 2.94
Zn: 0.0000 0.5000 0.2500  4 Hf 2.70

---

A geometry-optimized LaHfZn4 structure, computed with PBE.

Calculated values
Spin magnetization in μB per formula unit: 0.0
E_tot in eV/atom: -3.501
Formation energy from the elements in kJ per mole of atoms: -16.5

abc: 7.6674 7.6674 7.6674
angles: 90.00 90.00 90.00
Last column: nearest neighbours and their distance in Å.
Space group F-43m (No. 216)
Asymmetric unit:
La: 0.0000 0.0000 0.0000  12 Zn 3.18, 4 Hf 3.32
Hf: 0.2500 0.2500 0.2500  12 Zn 3.17, 4 La 3.32
Zn: 0.1232 0.1232 0.6232  6 Zn 2.67-2.75